This record from Alexandria describes a relaxed HgTeIr crystal. The functional is PBE.

Cell: 6.180 8.020 7.053 Å, 90.00 95.21 90.00°
Fractional positions:
Hg 0.156 0.236 0.346
Hg 0.156 0.264 0.846
Hg 0.844 0.736 0.154
Hg 0.844 0.764 0.654
Te 0.304 0.668 0.658
Te 0.304 0.832 0.158
Te 0.696 0.168 0.842
Te 0.696 0.332 0.342
Ir 0.465 0.127 0.126
Ir 0.465 0.373 0.626
Ir 0.535 0.627 0.374
Ir 0.535 0.873 0.874

Calculated values
The value obtained for the excess energy over the best structure of this formula in the dataset is 30 meV/atom. The calculation puts the uncorrected formation energy at 0.189 eV/atom.



This record from Alexandria describes a relaxed BeGa2SI crystal. The functional is PBE.

Cell: 5.951 5.951 4.817 Å, 90.00 90.00 90.00°
Fractional positions:
Be 0.000 0.000 0.000
Ga 0.000 0.500 0.500
Ga 0.500 0.000 0.500
S 0.500 0.500 0.000
I 0.000 0.000 0.500

Calculated values
The calculation puts the uncorrected formation energy at 0.970 eV/atom.



This record from Alexandria describes a relaxed La3Pr2ThS6 crystal. The functional is PBE.

Cell: 9.209 9.209 8.231 Å, 102.99 102.99 25.87°
Fractional positions:
La 0.000 0.000 0.000
La 0.333 0.333 0.666
La 0.667 0.667 0.334
Pr 0.334 0.334 0.168
Pr 0.666 0.666 0.832
Th 0.000 0.000 0.500
S 0.165 0.165 0.584
S 0.168 0.168 0.082
S 0.500 0.500 0.255
S 0.500 0.500 0.745
S 0.832 0.832 0.918
S 0.835 0.835 0.416

Calculated values
The calculation puts the uncorrected formation energy at -2.061 eV/atom.



This record from Alexandria describes a relaxed YBePdRh2 crystal. The functional is PBE.

Cell: 4.289 4.289 4.289 Å, 90.00 90.00 90.00°
Fractional positions:
Y 0.000 0.000 0.000
Be 0.500 0.500 0.500
Pd 0.500 0.500 0.000
Rh 0.000 0.500 0.500
Rh 0.500 0.000 0.500

Calculated values
The calculation puts the energy of formation at -633 meV/atom.



This record from Alexandria describes a relaxed Li3As2Au crystal. The functional is PBE.

Cell: 5.013 6.140 7.365 Å, 84.50 87.70 81.37°
Fractional positions:
Li 0.073 0.197 0.408
Li 0.343 0.467 0.774
Li 0.357 0.952 0.833
Li 0.643 0.048 0.167
Li 0.657 0.533 0.226
Li 0.927 0.803 0.592
As 0.072 0.287 0.046
As 0.445 0.801 0.495
As 0.555 0.199 0.505
As 0.928 0.713 0.954
Au 0.179 0.815 0.213
Au 0.821 0.185 0.787

Calculated values
The value obtained for the excess energy over the best structure of this formula in the dataset is 0 meV/atom. The calculation puts the energy of formation at -515 meV/atom.



This record from Alexandria describes a relaxed PmTaAl4 crystal. The functional is PBE.

Cell: 5.390 5.390 5.390 Å, 60.00 60.00 60.00°
Fractional positions:
Pm 0.000 0.000 0.000
Ta 0.750 0.750 0.750
Al 0.376 0.376 0.376
Al 0.376 0.376 0.872
Al 0.376 0.872 0.376
Al 0.872 0.376 0.376

Calculated values
The calculation puts the energy of formation at -249 meV/atom.



This record from Alexandria describes a relaxed Tm8Ga2Ag3 crystal. The functional is PBE.

Cell: 8.342 8.342 5.961 Å, 92.41 92.41 56.24°
Fractional positions:
Tm 0.086 0.086 0.345
Tm 0.093 0.663 0.133
Tm 0.315 0.315 0.626
Tm 0.337 0.907 0.867
Tm 0.663 0.093 0.133
Tm 0.685 0.685 0.374
Tm 0.907 0.337 0.867
Tm 0.914 0.914 0.655
Ga 0.253 0.253 0.124
Ga 0.747 0.747 0.876
Ag 0.326 0.674 0.500
Ag 0.500 0.500 0.000
Ag 0.674 0.326 0.500

Calculated values
The calculation puts the energy of formation at -147 meV/atom.



This record from Alexandria describes a relaxed KTe2Os crystal. The functional is PBE.

Cell: 4.049 4.049 28.543 Å, 90.00 90.00 120.00°
Fractional positions:
K 0.000 0.000 0.000
K 0.333 0.667 0.667
K 0.667 0.333 0.333
Te 0.000 0.000 0.119
Te 0.000 0.000 0.881
Te 0.333 0.667 0.547
Te 0.333 0.667 0.786
Te 0.667 0.333 0.214
Te 0.667 0.333 0.453
Os 0.000 0.000 0.500
Os 0.333 0.667 0.167
Os 0.667 0.333 0.833

Calculated values
The value obtained for the excess energy over the best structure of this formula in the dataset is 210 meV/atom. The calculation puts the uncorrected formation energy at 0.043 eV/atom.



no.,density of states at the Fermi level (states/eV per cell),spin magnetization (μB per cell),volume (Å³/atom)
1,2.822,0.00,29.01
2,2.008,0.00,34.12
3,6.953,0.00,24.69
4,4.866,0.00,15.78
5,1.816,0.00,18.58
6,2.117,0.00,18.46
7,13.642,0.00,26.50
8,17.634,1.17,33.76